VASP calculation (PBE with a Hubbard U) on a relaxed Li3Co2NiO6 crystal.

a = 15.0938 Å, b = 2.9273 Å, c = 11.7708 Å
α = 90.00°, β = 125.21°, γ = 90.00°
Last column: nearest neighbours and their distance in Å.
Space group Cm (No. 8)
Asymmetric unit:
Li (0.0000, 0.0000, 0.0000)  6 O 2.08-2.21
Li (0.0011, 0.0000, 0.5010)  6 O 2.10-2.15
Li (0.1654, 0.5000, 0.0053)  6 O 2.06-2.29
Li (0.1721, 0.5000, 0.4975)  3 O 2.01-2.06
Li (0.3309, 0.0000, 0.5066)  3 O 2.01-2.05
Li (0.3373, 0.0000, 0.9964)  6 O 2.06-2.30
Co (0.1581, 0.5000, 0.2478)  6 O 1.88-2.10
Co (0.1701, 0.5000, 0.7519)  6 O 1.86-1.94
Co (0.3321, 0.0000, 0.2504)  6 O 1.86-1.94
Co (0.3433, 0.0000, 0.7542)  6 O 1.88-2.09
Ni (0.0000, 0.0000, 0.2529)  6 O 2.05-2.10
Ni (0.0031, 0.0000, 0.7496)  6 O 2.05-2.08
O (0.0061, 0.5000, 0.1298)  1 Co 1.88, 3 Li 2.08, 2 Ni 2.10
O (0.0190, 0.5000, 0.6407)  1 Co 1.86, 2 Ni 2.05
O (0.1681, 0.0000, 0.3719)  2 Co 2.01, 3 Li 2.01-2.06, 1 Ni 2.07
O (0.1708, 0.0000, 0.8597)  2 Co 1.93, 1 Li 2.06, 1 Ni 2.08
O (0.1747, 0.0000, 0.6476)  3 Co 1.94-2.09, 1 Li 2.15
O (0.1788, 0.0000, 0.1406)  3 Co 1.89-2.07, 2 Li 2.08
O (0.3239, 0.5000, 0.8626)  3 Co 1.90-2.07, 2 Li 2.07
O (0.3273, 0.5000, 0.3544)  3 Co 1.94-2.10, 1 Li 2.15
O (0.3321, 0.5000, 0.1430)  2 Co 1.93, 1 Li 2.06, 1 Ni 2.08
O (0.3346, 0.5000, 0.6308)  3 Li 2.01-2.05, 2 Co 2.01, 1 Ni 2.08
O (0.4832, 0.0000, 0.3614)  1 Co 1.86, 2 Ni 2.05
O (0.4957, 0.0000, 0.8692)  1 Co 1.88, 2 Ni 2.08, 3 Li 2.10

**Theoretical density**: 4.59 g/cm3
**Magnetic moment**: 0.08 μB/atom
**Energy above the most stable polymorph in this dataset**: 34 meV/atom